No. 1
{
  "formula": "VCoGe2",
  "functional": "GGA-PBE",
  "state": "optimized geometry",
  "formation_enthalpy_0k_ev_per_atom": 0.257,
  "dos_at_fermi_per_ev_cell": 8.1,
  "spacegroup": "No. 122",
  "e_tot_ev_per_atom": -6.108,
  "vol_a3_per_atom": 15.1,
  "cell": [[-2.216, 3.038, -0.274], [-2.944, -2.041, 1.176], [-0.778, 2.538, 8.503]],
  "species": ["Co", "Co", "V", "V", "Ge", "Ge", "Ge", "Ge"],
  "frac_coords": [[0.000, 0.000, 0.000], [0.750, 0.250, 0.500], [0.500, 0.500, 0.000], [0.250, 0.750, 0.500], [0.634, 0.125, 0.250], [0.875, 0.884, 0.750], [0.116, 0.625, 0.250], [0.375, 0.366, 0.750]]
}

No. 2
{
  "formula": "V5CoGe5",
  "functional": "GGA-PBE",
  "state": "optimized geometry",
  "formation_enthalpy_0k_ev_per_atom": 0.012,
  "dos_at_fermi_per_ev_cell": 9.9,
  "spacegroup": "No. 12",
  "e_tot_ev_per_atom": -6.877,
  "vol_a3_per_atom": 15.3,
  "cell": [[4.499, 0.000, 0.000], [-2.249, 4.603, 0.105], [0.000, -1.197, 8.089]],
  "species": ["Ge", "Ge", "Ge", "Ge", "Ge", "V", "V", "V", "V", "V", "Co"],
  "frac_coords": [[0.150, 0.300, 0.261], [0.850, 0.700, 0.739], [0.500, 0.000, 0.000], [0.832, 0.665, 0.184], [0.168, 0.335, 0.816], [0.708, 0.417, 0.429], [0.563, 0.125, 0.679], [0.292, 0.583, 0.571], [0.437, 0.875, 0.321], [0.000, 0.000, 0.500], [0.000, 0.000, 0.000]]
}

No. 3
{
  "formula": "VCo4Ge",
  "functional": "GGA-PBE",
  "state": "optimized geometry",
  "formation_enthalpy_0k_ev_per_atom": 0.063,
  "dos_at_fermi_per_ev_cell": 8.8,
  "spacegroup": "No. 216",
  "e_tot_ev_per_atom": -6.963,
  "relative_energy_mev_per_atom": 86,
  "vol_a3_per_atom": 11.8,
  "cell": [[-1.254, -3.817, 2.328], [3.179, -3.205, 1.088], [1.313, -0.561, 4.418]],
  "species": ["Co", "Co", "Co", "Co", "V", "Ge"],
  "frac_coords": [[0.625, 0.125, 0.625], [0.125, 0.625, 0.625], [0.625, 0.625, 0.125], [0.625, 0.625, 0.625], [0.250, 0.250, 0.250], [0.000, 0.000, 0.000]]
}

No. 4
{
  "formula": "VCo4Ge",
  "functional": "GGA-PBE",
  "state": "optimized geometry",
  "formation_enthalpy_0k_ev_per_atom": -0.023,
  "dos_at_fermi_per_ev_cell": 15.6,
  "spacegroup": "No. 74",
  "e_tot_ev_per_atom": -7.049,
  "relative_energy_mev_per_atom": 0,
  "vol_a3_per_atom": 11.7,
  "cell": [[-1.116, 0.230, 4.242], [3.112, -2.645, 0.962], [3.720, 7.083, -1.679]],
  "species": ["V", "V", "Co", "Co", "Co", "Co", "Co", "Co", "Co", "Co", "Ge", "Ge"],
  "frac_coords": [[0.500, 0.000, 0.500], [0.000, 0.500, 0.500], [0.976, 0.916, 0.331], [0.600, 0.165, 0.831], [0.232, 0.665, 0.831], [0.024, 0.084, 0.669], [0.645, 0.584, 0.669], [0.355, 0.416, 0.331], [0.768, 0.335, 0.169], [0.400, 0.835, 0.169], [0.800, 0.750, 0.000], [0.200, 0.250, 0.000]]
}

No. 5
{
  "formula": "V2CoGe4",
  "functional": "GGA-PBE",
  "state": "optimized geometry",
  "formation_enthalpy_0k_ev_per_atom": 0.382,
  "dos_at_fermi_per_ev_cell": 6.9,
  "spacegroup": "No. 139",
  "e_tot_ev_per_atom": -5.877,
  "relative_energy_mev_per_atom": 443,
  "vol_a3_per_atom": 17.9,
  "cell": [[4.546, 0.000, 0.000], [0.000, 4.546, 0.000], [2.273, 2.273, 6.064]],
  "species": ["Ge", "Ge", "Ge", "Ge", "Co", "V", "V"],
  "frac_coords": [[0.000, 0.500, 0.000], [0.807, 0.807, 0.386], [0.500, 0.000, 0.000], [0.193, 0.193, 0.614], [0.000, 0.000, 0.000], [0.598, 0.598, 0.805], [0.402, 0.402, 0.195]]
}

No. 6
{
  "formula": "VCo2Ge2",
  "functional": "GGA-PBE",
  "state": "optimized geometry",
  "formation_enthalpy_0k_ev_per_atom": -0.117,
  "dos_at_fermi_per_ev_cell": 9.5,
  "spacegroup": "No. 127",
  "e_tot_ev_per_atom": -6.630,
  "vol_a3_per_atom": 12.7,
  "cell": [[6.903, 0.000, 0.000], [0.000, 6.903, 0.000], [0.000, 0.000, 2.663]],
  "species": ["Ge", "Ge", "Ge", "Ge", "Co", "Co", "Co", "Co", "V", "V"],
  "frac_coords": [[0.153, 0.347, 0.000], [0.347, 0.847, 0.000], [0.847, 0.653, 0.000], [0.653, 0.153, 0.000], [0.146, 0.646, 0.500], [0.354, 0.146, 0.500], [0.646, 0.854, 0.500], [0.854, 0.354, 0.500], [0.000, 0.000, 0.000], [0.500, 0.500, 0.000]]
}

No. 7
{
  "formula": "V2CoGe4",
  "functional": "GGA-PBE",
  "state": "optimized geometry",
  "formation_enthalpy_0k_ev_per_atom": -0.061,
  "dos_at_fermi_per_ev_cell": 4.6,
  "spacegroup": "No. 12",
  "e_tot_ev_per_atom": -6.320,
  "relative_energy_mev_per_atom": 0,
  "vol_a3_per_atom": 15.3,
  "cell": [[-1.875, 2.138, 0.625], [-1.054, -2.387, 5.000], [6.297, 3.552, -0.038]],
  "species": ["Co", "Ge", "Ge", "Ge", "Ge", "V", "V"],
  "frac_coords": [[0.000, 0.000, 0.000], [0.113, 0.791, 0.226], [0.887, 0.209, 0.774], [0.608, 0.319, 0.216], [0.392, 0.681, 0.784], [0.751, 0.750, 0.502], [0.249, 0.250, 0.498]]
}

No. 8
{
  "formula": "VCo4Ge2",
  "functional": "GGA-PBE",
  "state": "optimized geometry",
  "formation_enthalpy_0k_ev_per_atom": -0.148,
  "dos_at_fermi_per_ev_cell": 5.5,
  "spacegroup": "No. 166",
  "e_tot_ev_per_atom": -6.830,
  "relative_energy_mev_per_atom": 0,
  "vol_a3_per_atom": 12.6,
  "cell": [[-3.544, -1.751, 0.403], [-1.668, -0.306, 3.593], [-4.648, 5.006, 0.465]],
  "species": ["Co", "Co", "Co", "Co", "Ge", "Ge", "V"],
  "frac_coords": [[0.877, 0.877, 0.370], [0.373, 0.373, 0.881], [0.627, 0.627, 0.119], [0.123, 0.123, 0.630], [0.246, 0.246, 0.263], [0.754, 0.754, 0.737], [0.000, 0.000, 0.000]]
}